AlV3Zn PBE-GGA relaxed; space group = No. 221; excess energy over the best structure of this formula in the dataset = 1.011 eV/atom; total DFT energy (no corrections) = -5.38 eV/atom; M_tot = 0.00 μB per formula unit
1.0
4.443 0.000 0.000
0.000 4.443 0.000
0.000 0.000 4.443
Al V Zn
1 3 1
Direct
0.000 0.000 0.000
0.000 0.500 0.500
0.500 0.000 0.500
0.500 0.500 0.000
0.500 0.500 0.500


Al6VZn3 PBE-GGA relaxed; space group = No. 148; total DFT energy (no corrections) = -3.42 eV/atom; M_tot = 0.42 μB per formula unit
1.0
4.550 2.627 4.883
-4.550 2.627 4.883
0.000 -5.254 4.883
Al V Zn
12 2 6
Direct
0.017 0.068 0.328
0.068 0.328 0.017
0.119 0.559 0.617
0.328 0.017 0.068
0.383 0.881 0.441
0.441 0.383 0.881
0.559 0.617 0.119
0.617 0.119 0.559
0.672 0.983 0.932
0.881 0.441 0.383
0.932 0.672 0.983
0.983 0.932 0.672
0.000 0.000 0.000
0.500 0.500 0.500
0.174 0.677 0.236
0.236 0.174 0.677
0.323 0.764 0.826
0.677 0.236 0.174
0.764 0.826 0.323
0.826 0.323 0.764


Al4V5Zn PBE-GGA relaxed; space group = No. 123; total DFT energy (no corrections) = -6.36 eV/atom; M_tot = 0.00 μB per formula unit
1.0
2.653 0.000 0.000
0.000 2.653 0.000
0.000 0.000 20.116
Al V Zn
4 5 1
Direct
0.000 0.000 0.100
0.000 0.000 0.301
0.000 0.000 0.699
0.000 0.000 0.900
0.500 0.500 0.000
0.500 0.500 0.200
0.500 0.500 0.399
0.500 0.500 0.601
0.500 0.500 0.800
0.000 0.000 0.500


AlV6Zn PBE-GGA relaxed; space group = No. 38; total DFT energy (no corrections) = -7.53 eV/atom; M_tot = 0.00 μB per formula unit
1.0
4.327 0.000 0.000
0.000 2.874 4.416
0.000 -2.874 4.416
Al V Zn
1 6 1
Direct
0.000 0.000 0.000
0.000 0.473 0.473
0.000 0.495 0.986
0.000 0.986 0.495
0.500 0.194 0.701
0.500 0.210 0.210
0.500 0.701 0.194
0.500 0.689 0.689


- Number 3 is which compound?
  Al4V5Zn